# 1
DFT (PBE) results for an optimized crystal structure of DyEr4In.

Results
As for the space-group type: P4/mmm (123). The calculation puts the distance to the lowest polymorph of the same formula at 0 meV/atom.

Unit cell a=3.5355 b=3.5355 c=14.1268 alpha=90.00 beta=90.00 gamma=90.00
Fractional positions:
1 Dy 0.0000 0.0000 0.0000
2 Er 0.5000 0.5000 0.1762
3 Er 0.0000 0.0000 0.6487
4 Er 0.0000 0.0000 0.3513
5 Er 0.5000 0.5000 0.8238
6 In 0.5000 0.5000 0.5000

=====

# 2
DFT (PBE) results for an optimized crystal structure of Pr4SnPSe2.

Results
The calculation puts the uncorrected formation energy at -1503 meV/atom. As for the space-group type: P2/m (10).

Unit cell a=4.3312 b=7.5187 c=7.5309 alpha=70.60 beta=90.00 gamma=90.00
Fractional positions:
1 Pr 0.0000 0.7494 0.7396
2 Pr 0.0000 0.2506 0.2604
3 Pr 0.5000 0.7392 0.2637
4 Pr 0.5000 0.2608 0.7363
5 Sn 0.5000 0.5000 0.0000
6 P 0.0000 0.5000 0.5000
7 Se 0.0000 0.0000 0.0000
8 Se 0.5000 0.0000 0.5000

=====

# 3
DFT (PBE) results for an optimized crystal structure of La3ScBi5.

Results
As for the space-group type: P6_3/mcm (193).

Unit cell a=9.8986 b=9.8986 c=6.5648 alpha=90.00 beta=90.00 gamma=120.00
Fractional positions:
1 La 0.0000 0.6198 0.2500
2 La 0.3802 0.3802 0.2500
3 La 0.3802 0.0000 0.7500
4 La 0.6198 0.6198 0.7500
5 La 0.6198 0.0000 0.2500
6 La 0.0000 0.3802 0.7500
7 Sc 0.0000 0.0000 0.0000
8 Sc 0.0000 0.0000 0.5000
9 Bi 0.0000 0.2603 0.2500
10 Bi 0.3333 0.6667 0.5000
11 Bi 0.6667 0.3333 0.0000
12 Bi 0.3333 0.6667 0.0000
13 Bi 0.2603 0.2603 0.7500
14 Bi 0.7397 0.0000 0.7500
15 Bi 0.0000 0.7397 0.7500
16 Bi 0.7397 0.7397 0.2500
17 Bi 0.2603 0.0000 0.2500
18 Bi 0.6667 0.3333 0.5000

=====

# 4
DFT (PBE) results for an optimized crystal structure of Sc2TaH.

Results
As for the space-group type: Fm-3m (225). The calculation puts the distance to the lowest polymorph of the same formula at 728 meV/atom.

Unit cell a=4.6920 b=4.6920 c=4.6920 alpha=60.00 beta=60.00 gamma=60.00
Fractional positions:
1 Sc 0.2500 0.2500 0.2500
2 Sc 0.7500 0.7500 0.7500
3 H 0.0000 0.0000 0.0000
4 Ta 0.5000 0.5000 0.5000

=====

Number 1: DOS at the Fermi energy 5.950 states/eV/cell, electronic total energy -4.42 eV per atom, M_tot 0.000 μB/atom. Number 2: DOS at the Fermi energy 1.839 states/eV/cell, electronic total energy -5.94 eV per atom, M_tot 0.000 μB/atom. Number 3: DOS at the Fermi energy 6.003 states/eV/cell, electronic total energy -5.39 eV per atom, M_tot 0.000 μB/atom. Number 4: DOS at the Fermi energy 7.556 states/eV/cell, electronic total energy -6.11 eV per atom, M_tot 0.363 μB/atom.